No. 1
5
Lattice="4.555 0.000 0.000 0.000 6.242 0.000 0.000 0.000 4.555" Properties=species:S:1:pos:R:3 comment="SrBeReS2, relaxed, DFT PBE" e_form_raw_ev_per_atom=0.4502 pbc="T T T"
Be 2.277 3.121 2.277
S 2.277 0.000 0.000
Sr 0.000 3.121 0.000
Re 0.000 0.000 0.000
S 0.000 0.000 2.277



No. 2
8
Lattice="-2.723 1.446 2.104 -1.342 -3.428 0.619 3.111 -1.712 8.515" Properties=species:S:1:pos:R:3 comment="VFePd2, relaxed, DFT PBE" de_polymorph_mev_per_atom=439.1 formation_energy_kcal_per_mol_atoms=5.976 pbc="T T T"
Pd -0.395 -2.393 2.773
Pd -1.227 -3.027 8.770
Fe -0.823 -0.629 5.990
Fe 0.000 0.000 0.000
Pd -1.099 0.051 3.526
V -2.032 -0.991 1.361
Pd 0.812 -2.019 7.406
V -0.132 -3.065 5.248



No. 3
8
Lattice="-1.476 -2.715 -2.060 3.023 -2.079 0.576 -3.358 -6.197 7.226" Properties=species:S:1:pos:R:3 comment="Mo2RhW, relaxed, DFT PBE" de_polymorph_mev_per_atom=727.4 formation_energy_kcal_per_mol_atoms=17.013 pbc="T T T"
W -2.030 -5.655 2.212
Mo -1.118 -8.875 4.130
Mo -1.985 -6.414 4.854
Mo 0.888 -3.146 1.941
W 0.000 0.000 0.000
Rh 0.219 -5.337 3.530
Rh 0.774 -2.397 -0.742
Mo -1.407 -3.548 0.559



No. 4
12
Lattice="7.002 -0.104 0.003 -3.589 6.014 0.003 -1.135 -1.966 7.994" Properties=species:S:1:pos:R:3 comment="Cs3Np2NiS6, relaxed, DFT PBE" e_form_raw_ev_per_atom=-1.0498 pbc="T T T"
Ni 0.000 0.000 0.000
Cs 1.139 1.972 4.000
S 2.385 -0.053 1.453
S 2.355 4.078 1.304
Np -0.050 3.970 0.003
S -1.238 2.039 1.453
S -0.078 -0.134 6.696
S -0.107 3.997 6.547
Np 3.463 1.940 0.003
Cs -2.458 4.049 4.000
Cs 4.736 -0.105 4.000
S 3.515 1.905 6.547



No. 5
16
Lattice="12.144 0.000 0.000 0.000 12.144 0.000 0.000 0.000 4.453" Properties=species:S:1:pos:R:3 comment="GaSn, relaxed, DFT PBE" formation_energy_kcal_per_mol_atoms=5.122 pbc="T T T"
Sn 7.940 1.604 0.000
Ga 7.104 11.182 0.000
Sn 4.204 10.540 0.000
Sn 2.503 6.991 2.226
Ga 0.962 7.104 0.000
Sn 9.641 5.153 2.226
Ga 9.028 7.876 2.226
Ga 11.182 5.040 0.000
Sn 10.540 7.940 0.000
Sn 1.604 4.204 0.000
Ga 5.040 0.962 0.000
Sn 6.991 9.641 2.226
Ga 3.115 4.267 2.226
Sn 5.153 2.503 2.226
Ga 7.876 3.115 2.226
Ga 4.267 9.028 2.226



No. 6
10
Lattice="-3.251 -3.144 -5.355 5.540 -4.200 -0.897 -1.176 -1.948 1.857" Properties=species:S:1:pos:R:3 comment="Tc2AgP2, relaxed, DFT PBE" de_polymorph_mev_per_atom=33.1 formation_energy_kcal_per_mol_atoms=-2.174 pbc="T T T"
P 2.031 -6.590 -3.303
P 2.519 -4.156 -0.441
Tc 0.776 -5.395 -5.166
Tc -1.298 -2.622 -3.572
P -0.918 -2.702 -1.092
Ag 0.000 0.000 0.000
Tc 1.513 -1.949 -1.086
Ag 1.144 -3.672 -3.126
P -1.406 -5.136 -3.954
Tc 3.587 -4.721 -2.681



No. 7
10
Lattice="-2.001 -0.871 -4.566 0.771 -5.224 0.652 -6.542 2.053 2.478" Properties=species:S:1:pos:R:3 comment="HfTiPd3, relaxed, DFT PBE" de_polymorph_mev_per_atom=105.9 formation_energy_kcal_per_mol_atoms=-8.071 pbc="T T T"
Hf -5.053 -3.622 -1.305
Pd -1.000 -0.435 -2.283
Pd -2.813 -4.740 -2.077
Hf -2.719 -0.419 -0.131
Pd -4.959 0.698 0.641
Ti -0.385 -2.854 -0.692
Ti -7.387 -1.187 -0.744
Pd 0.000 0.000 0.000
Pd -4.576 -1.908 0.963
Pd -3.197 -2.133 -2.399



No. 8
4
Lattice="-2.930 -3.872 0.831 -0.382 -1.235 4.754 -0.448 4.202 -2.533" Properties=species:S:1:pos:R:3 comment="MnAlPt2, relaxed, DFT PBE" formation_energy_kcal_per_mol_atoms=-14.844 pbc="T T T"
Pt -2.517 -1.112 0.545
Pt -3.312 -5.107 5.584
Mn -1.243 0.207 2.507
Al -1.656 -2.554 2.793



No. 9
12
Lattice="3.675 0.000 0.000 0.000 8.698 0.144 0.000 -4.032 9.028" Properties=species:S:1:pos:R:3 comment="KNbRuSe3, relaxed, DFT PBE" e_form_raw_ev_per_atom=-0.7565 pbc="T T T"
Se 0.919 4.908 4.112
Se 0.919 -2.621 7.902
K 2.756 3.609 6.773
Se 0.919 1.179 7.891
Se 2.756 7.288 1.270
Se 2.756 3.487 1.281
Nb 0.919 5.466 1.588
K 0.919 1.057 2.399
Se 2.756 -0.241 5.060
Ru 2.756 6.426 3.593
Nb 2.756 -0.799 7.584
Ru 0.919 -1.760 5.579